Below is a geometry-optimized CoTePbO structure, with properties calculated at the GGA+U level.

It has space group Cmc2_1 (No. 36), with a = 3.285 Å, b = 14.553 Å, c = 7.403 Å, α = 90.00°, β = 90.00° and γ = 90.00°. The inequivalent atoms are Co at (0.000, 0.173, 0.000), Te at (0.000, 0.179, 0.372), Pb at (0.000, 0.469, 0.152) and O at (0.000, 0.397, 0.450).

As for the total magnetic moment: 2.7 μB/f.u. As for the distance to the lowest polymorph of the same formula: 0.165 eV per atom.